Sm8Dy2Zn: optimized geometry, PBE.

Results
Symmetry ... C2/m
Calculated formation energy ... -0.017 eV/atom
Mass density ... 7.57 g/cm³
Magnetic moment ... 0.0 μB per formula unit
DOS at the Fermi energy ... 13.06 states/eV/f.u.

Cell and atoms, written as POSCAR:
```
Sm8Dy2Zn
1.0
9.599 -2.804 0.000
9.599 2.804 0.000
-0.336 0.000 6.492
Sm Dy Zn
8 2 1
direct
0.040 0.040 0.251 Sm
0.157 0.157 0.809 Sm
0.344 0.344 0.882 Sm
0.420 0.420 0.394 Sm
0.580 0.580 0.606 Sm
0.656 0.656 0.118 Sm
0.843 0.843 0.191 Sm
0.960 0.960 0.749 Sm
0.237 0.237 0.333 Dy
0.763 0.763 0.667 Dy
0.500 0.500 0.000 Zn
```



CaS2F: optimized geometry, PBE.

Results
Symmetry ... R-3m
Formation energy (no corrections) ... -0.854 eV/atom
Mass density ... 1.98 g/cm³
Excess energy over the best structure of this formula in the dataset ... 0.0000 eV/atom
Magnetic moment ... 0.7 μB per formula unit
DOS at the Fermi energy ... 2.68 states/eV/f.u.

Cell and atoms, written as POSCAR:
```
CaS2F
1.0
2.175 1.256 6.309
-2.175 1.256 6.309
0.000 -2.512 6.309
Ca S F
1 2 1
direct
0.000 0.000 0.000 Ca
0.395 0.395 0.395 S
0.605 0.605 0.605 S
0.500 0.500 0.500 F
```



Th2AsS2: optimized geometry, PBE.

Results
Symmetry ... P-3m1
Formation energy (no corrections) ... -1.655 eV/atom
Mass density ... 6.90 g/cm³
Excess energy over the best structure of this formula in the dataset ... 0.0000 eV/atom
Magnetic moment ... 0.0 μB per formula unit
DOS at the Fermi energy ... 2.75 states/eV/f.u.

Cell and atoms, written as POSCAR:
```
Th2AsS2
1.0
4.235 0.000 0.000
-2.118 3.668 0.000
0.000 0.000 9.343
Th As S
2 1 2
direct
0.333 0.667 0.309 Th
0.667 0.333 0.691 Th
0.000 0.000 0.500 As
0.333 0.667 0.835 S
0.667 0.333 0.165 S
```